Below is V3CdAg after structural relaxation, with properties calculated at the PBE level.

Output
Total moment   9.6 μB per cell
Energy relative to the lowest polymorph listed for this composition   0 meV/atom
DFT formation energy   1558 meV/atom

Lattice parameters (Å, degrees): 4.9400 4.9400 4.9400 90.00 90.00 90.00
Closest atoms and distances in Å follow each position.
Element x y z (fractional)
1 V 0.0000 0.0000 0.5000  2 Ag 2.47
2 V 0.0000 0.5000 0.0000  2 Ag 2.47
3 V 0.5000 0.0000 0.0000  2 Ag 2.47
4 Cd 0.5000 0.5000 0.5000  12 V 3.49
5 Ag 0.0000 0.0000 0.0000  6 V 2.47

=====

Below is VCd2Ag after structural relaxation, with properties calculated at the PBE level.

Output
Total moment   3.0 μB per cell
Energy relative to the lowest polymorph listed for this composition   0 meV/atom
DFT formation energy   280 meV/atom

Lattice parameters (Å, degrees): 4.7496 4.7496 4.7496 60.00 60.00 60.00
Closest atoms and distances in Å follow each position.
Element x y z (fractional)
1 V 0.0000 0.0000 0.0000  8 Cd 2.91
2 Cd 0.2500 0.2500 0.2500  4 Ag 2.91, 4 V 2.91
3 Cd 0.7500 0.7500 0.7500  4 Ag 2.91, 4 V 2.91
4 Ag 0.5000 0.5000 0.5000  8 Cd 2.91

=====

Below is VCd3Ag after structural relaxation, with properties calculated at the PBE level.

Output
Total moment   4.0 μB per cell
Energy relative to the lowest polymorph listed for this composition   0 meV/atom
DFT formation energy   812 meV/atom

Lattice parameters (Å, degrees): 5.1581 5.1581 5.1581 90.00 90.00 90.00
Closest atoms and distances in Å follow each position.
Element x y z (fractional)
1 V 0.0000 0.0000 0.0000  12 Cd 3.65
2 Cd 0.0000 0.5000 0.5000  2 Ag 2.58
3 Cd 0.5000 0.0000 0.5000  2 Ag 2.58
4 Cd 0.5000 0.5000 0.0000  2 Ag 2.58
5 Ag 0.5000 0.5000 0.5000  6 Cd 2.58

=====

Below is VCd2Ag after structural relaxation, with properties calculated at the PBE level.

Output
Total moment   6.7 μB per cell
Energy relative to the lowest polymorph listed for this composition   257 meV/atom
DFT formation energy   537 meV/atom

Lattice parameters (Å, degrees): 6.1577 6.1577 6.1577 102.78 102.78 123.88
Closest atoms and distances in Å follow each position.
Element x y z (fractional)
1 V 0.0000 0.0000 0.0000  4 Cd 2.85, 2 Ag 2.90
2 V 0.7500 0.2500 0.5000  4 Cd 2.85, 2 Ag 2.90
3 Cd 0.1322 0.6250 0.0072  2 Ag 2.77, 2 V 2.85, 2 Cd 2.90
4 Cd 0.3750 0.3822 0.5072  2 Ag 2.77, 2 V 2.85, 2 Cd 2.90
5 Cd 0.6178 0.1250 0.9928  2 Ag 2.77, 2 V 2.85, 2 Cd 2.90
6 Cd 0.8750 0.8678 0.4928  2 Ag 2.77, 2 V 2.85, 2 Cd 2.90
7 Ag 0.2500 0.7500 0.5000  4 Cd 2.77, 2 V 2.90
8 Ag 0.5000 0.5000 0.0000  4 Cd 2.77, 2 V 2.90

=====

Below is VCd3Ag after structural relaxation, with properties calculated at the PBE level.

Output
Total moment   3.8 μB per cell
Energy relative to the lowest polymorph listed for this composition   57 meV/atom
DFT formation energy   869 meV/atom

Lattice parameters (Å, degrees): 5.2956 5.2956 5.2956 90.00 90.00 90.00
Closest atoms and distances in Å follow each position.
Element x y z (fractional)
1 V 0.0000 0.0000 0.0000  6 Cd 2.65
2 Cd 0.0000 0.0000 0.5000  2 V 2.65
3 Cd 0.0000 0.5000 0.0000  2 V 2.65
4 Cd 0.5000 0.0000 0.0000  2 V 2.65
5 Ag 0.5000 0.5000 0.5000  12 Cd 3.74

=====

Below is VCd2Ag2 after structural relaxation, with properties calculated at the PBE level.

Output
Total moment   3.4 μB per cell
Energy relative to the lowest polymorph listed for this composition   98 meV/atom
DFT formation energy   418 meV/atom

Lattice parameters (Å, degrees): 7.5654 7.5654 7.5654 150.47 150.47 42.25
Closest atoms and distances in Å follow each position.
Element x y z (fractional)
1 V 0.0000 0.0000 0.0000  8 Cd 3.06
2 Cd 0.4021 0.4021 0.0000  1 Cd 2.76, 4 Ag 2.89, 4 V 3.06
3 Cd 0.5979 0.5979 0.0000  1 Cd 2.76, 4 Ag 2.89, 4 V 3.06
4 Ag 0.2500 0.7500 0.5000  4 Ag 2.73, 4 Cd 2.89
5 Ag 0.7500 0.2500 0.5000  4 Ag 2.73, 4 Cd 2.89

=====

Below is VCd2Ag after structural relaxation, with properties calculated at the PBE level.

Output
Total moment   1.5 μB per cell
Energy relative to the lowest polymorph listed for this composition   181 meV/atom
DFT formation energy   460 meV/atom

Lattice parameters (Å, degrees): 10.7971 10.7971 10.7971 15.43 15.43 15.43
Closest atoms and distances in Å follow each position.
Element x y z (fractional)
1 V 0.0000 0.0000 0.0000  2 Cd 2.81, 6 V 2.90
2 Cd 0.0877 0.0877 0.0877  1 V 2.81, 6 Cd 2.90, 3 Ag 3.03
3 Cd 0.9123 0.9123 0.9123  1 V 2.81, 6 Cd 2.90, 3 Ag 3.03
4 Ag 0.5000 0.5000 0.5000  6 Ag 2.90, 6 Cd 3.03

=====

Below is VCd2Ag2 after structural relaxation, with properties calculated at the PBE level.

Output
Total moment   6.9 μB per cell
Energy relative to the lowest polymorph listed for this composition   0 meV/atom
DFT formation energy   320 meV/atom

Lattice parameters (Å, degrees): 7.9459 7.9459 3.1324 90.00 90.00 90.00
Closest atoms and distances in Å follow each position.
Element x y z (fractional)
1 V 0.0000 0.0000 0.0000  4 Ag 3.12, 2 V 3.13, 8 Cd 3.34
2 V 0.5000 0.5000 0.0000  4 Ag 3.12, 2 V 3.13, 8 Cd 3.34
3 Cd 0.1708 0.3292 0.5000  6 Ag 2.75-2.87
4 Cd 0.3292 0.8292 0.5000  6 Ag 2.75-2.87
5 Cd 0.6708 0.1708 0.5000  6 Ag 2.75-2.87
6 Cd 0.8292 0.6708 0.5000  6 Ag 2.75-2.87
7 Ag 0.1285 0.6285 0.0000  6 Cd 2.75-2.87, 1 Ag 2.89
8 Ag 0.3715 0.1285 0.0000  6 Cd 2.75-2.87, 1 Ag 2.89
9 Ag 0.6285 0.8715 0.0000  6 Cd 2.75-2.87, 1 Ag 2.89
10 Ag 0.8715 0.3715 0.0000  6 Cd 2.75-2.87, 1 Ag 2.89

=====

Below is CdAg2W after structural relaxation, with properties calculated at the PBE level.

Output
Total moment   0.0 μB per cell
DFT formation energy   787 meV/atom

Lattice parameters (Å, degrees): 4.1321 4.1321 4.2041 90.00 90.00 90.00
Closest atoms and distances in Å follow each position.
Element x y z (fractional)
1 Cd 0.0000 0.0000 0.0000  4 W 2.92, 8 Ag 2.95
2 Ag 0.0000 0.5000 0.5000  4 Ag 2.92, 4 W 2.95, 4 Cd 2.95
3 Ag 0.5000 0.0000 0.5000  4 Ag 2.92, 4 W 2.95, 4 Cd 2.95
4 W 0.5000 0.5000 0.0000  4 Cd 2.92, 8 Ag 2.95

=====

Below is Cd2AgW after structural relaxation, with properties calculated at the PBE level.

Output
Total moment   2.1 μB per cell
Energy relative to the lowest polymorph listed for this composition   454 meV/atom
DFT formation energy   795 meV/atom

Lattice parameters (Å, degrees): 4.9776 4.9776 4.9776 127.07 127.07 78.13
Closest atoms and distances in Å follow each position.
Element x y z (fractional)
1 Cd 0.2500 0.7500 0.5000  4 W 2.94, 4 Ag 2.94, 4 Cd 3.14
2 Cd 0.7500 0.2500 0.5000  4 W 2.94, 4 Ag 2.94, 4 Cd 3.14
3 Ag 0.0000 0.0000 0.0000  8 Cd 2.94, 4 W 3.14
4 W 0.5000 0.5000 0.0000  8 Cd 2.94, 4 Ag 3.14

=====

Below is Cd2AgW after structural relaxation, with properties calculated at the PBE level.

Output
Total moment   2.0 μB per cell
Energy relative to the lowest polymorph listed for this composition   717 meV/atom
DFT formation energy   1058 meV/atom

Lattice parameters (Å, degrees): 6.0495 6.0495 6.0495 103.12 103.12 123.10
Closest atoms and distances in Å follow each position.
Element x y z (fractional)
1 Cd 0.1176 0.6250 0.9926  2 Ag 2.72, 2 W 2.79, 2 Cd 2.88
2 Cd 0.3750 0.3676 0.4926  2 Ag 2.72, 2 W 2.79, 2 Cd 2.88
3 Cd 0.6324 0.1250 0.0074  2 Ag 2.72, 2 W 2.79, 2 Cd 2.88
4 Cd 0.8750 0.8824 0.5074  2 Ag 2.72, 2 W 2.79, 2 Cd 2.88
5 Ag 0.0000 0.0000 0.0000  4 Cd 2.72, 2 W 2.88
6 Ag 0.7500 0.2500 0.5000  4 Cd 2.72, 2 W 2.88
7 W 0.2500 0.7500 0.5000  4 Cd 2.79, 2 Ag 2.88
8 W 0.5000 0.5000 0.0000  4 Cd 2.79, 2 Ag 2.88

=====

Below is Cd2AgW after structural relaxation, with properties calculated at the PBE level.

Output
Total moment   0.5 μB per cell
Energy relative to the lowest polymorph listed for this composition   212 meV/atom
DFT formation energy   554 meV/atom

Lattice parameters (Å, degrees): 2.7994 4.3800 6.0854 90.00 90.00 90.00
Closest atoms and distances in Å follow each position.
Element x y z (fractional)
1 Cd 0.0000 0.0000 0.2446  4 Cd 2.80-3.11, 4 W 3.00, 4 Ag 3.03
2 Cd 0.0000 0.0000 0.7554  4 Cd 2.80-3.11, 4 W 3.00, 4 Ag 3.03
3 Ag 0.5000 0.5000 0.5000  2 Ag 2.80, 8 Cd 3.03, 2 W 3.04
4 W 0.5000 0.5000 0.0000  2 W 2.80, 8 Cd 3.00, 2 Ag 3.04

=====

Below is CdAg3W after structural relaxation, with properties calculated at the PBE level.

Output
Total moment   0.9 μB per cell
Energy relative to the lowest polymorph listed for this composition   0 meV/atom
DFT formation energy   1589 meV/atom

Lattice parameters (Å, degrees): 5.1271 5.1271 5.1271 90.00 90.00 90.00
Closest atoms and distances in Å follow each position.
Element x y z (fractional)
1 Cd 0.0000 0.0000 0.0000  12 Ag 3.63
2 Ag 0.0000 0.5000 0.5000  2 W 2.56
3 Ag 0.5000 0.0000 0.5000  2 W 2.56
4 Ag 0.5000 0.5000 0.0000  2 W 2.56
5 W 0.5000 0.5000 0.5000  6 Ag 2.56

=====

Below is CdAg2W after structural relaxation, with properties calculated at the PBE level.

Output
Total moment   0.0 μB per cell
DFT formation energy   1076 meV/atom

Lattice parameters (Å, degrees): 10.3104 10.3104 10.3104 157.83 157.83 31.56
Closest atoms and distances in Å follow each position.
Element x y z (fractional)
1 Cd 0.0000 0.0000 0.0000  4 W 2.80, 4 Ag 2.86
2 Cd 0.7500 0.2500 0.5000  4 W 2.80, 4 Ag 2.86
3 Ag 0.1303 0.6250 0.0053  4 Ag 2.77-2.83, 2 W 2.84, 2 Cd 2.86
4 Ag 0.3750 0.3803 0.5053  4 Ag 2.77-2.83, 2 W 2.84, 2 Cd 2.86
5 Ag 0.6197 0.1250 0.9947  4 Ag 2.77-2.83, 2 W 2.84, 2 Cd 2.86
6 Ag 0.8750 0.8697 0.4947  4 Ag 2.77-2.83, 2 W 2.84, 2 Cd 2.86
7 W 0.2500 0.7500 0.5000  4 Cd 2.80, 4 Ag 2.84
8 W 0.5000 0.5000 0.0000  4 Cd 2.80, 4 Ag 2.84

=====

Below is CdAg2W after structural relaxation, with properties calculated at the PBE level.

Output
Total moment   1.2 μB per cell
DFT formation energy   800 meV/atom

Lattice parameters (Å, degrees): 4.9791 4.9791 4.9791 129.47 129.47 74.25
Closest atoms and distances in Å follow each position.
Element x y z (fractional)
1 Cd 0.0000 0.0000 0.0000  8 Ag 2.91, 4 W 3.01
2 Ag 0.2500 0.7500 0.5000  4 W 2.91, 4 Cd 2.91, 4 Ag 3.01
3 Ag 0.7500 0.2500 0.5000  4 W 2.91, 4 Cd 2.91, 4 Ag 3.01
4 W 0.5000 0.5000 0.0000  8 Ag 2.91, 4 Cd 3.01

=====

Below is CdAg2W after structural relaxation, with properties calculated at the PBE level.

Output
Total moment   0.0 μB per cell
DFT formation energy   354 meV/atom

Lattice parameters (Å, degrees): 10.0816 10.0816 10.0816 16.40 16.40 16.40
Closest atoms and distances in Å follow each position.
Element x y z (fractional)
1 Cd 0.0000 0.0000 0.0000  6 Cd 2.88, 6 Ag 3.05
2 Ag 0.2476 0.2476 0.2476  6 Ag 2.88, 3 W 2.93, 3 Cd 3.05
3 Ag 0.7524 0.7524 0.7524  6 Ag 2.88, 3 W 2.93, 3 Cd 3.05
4 W 0.5000 0.5000 0.5000  6 W 2.88, 6 Ag 2.93

=====

Below is CdAg2W after structural relaxation, with properties calculated at the PBE level.

Output
Total moment   1.7 μB per cell
DFT formation energy   860 meV/atom

Lattice parameters (Å, degrees): 4.6765 4.6765 4.6765 60.00 60.00 60.00
Closest atoms and distances in Å follow each position.
Element x y z (fractional)
1 Cd 0.0000 0.0000 0.0000  4 W 2.86, 4 Ag 2.86
2 Ag 0.2500 0.2500 0.2500  4 Ag 2.86, 4 Cd 2.86
3 Ag 0.5000 0.5000 0.5000  4 W 2.86, 4 Ag 2.86
4 W 0.7500 0.7500 0.7500  4 Ag 2.86, 4 Cd 2.86

=====

Below is Cd2AgW after structural relaxation, with properties calculated at the PBE level.

Output
Total moment   0.0 μB per cell
Energy relative to the lowest polymorph listed for this composition   0 meV/atom
DFT formation energy   342 meV/atom

Lattice parameters (Å, degrees): 2.8374 2.8374 9.1148 90.00 90.00 90.00
Closest atoms and distances in Å follow each position.
Element x y z (fractional)
1 Cd 0.0000 0.0000 0.2486  4 Cd 2.84, 4 W 3.03, 4 Ag 3.05
2 Cd 0.0000 0.0000 0.7514  4 Cd 2.84, 4 W 3.03, 4 Ag 3.05
3 Ag 0.5000 0.5000 0.5000  4 Ag 2.84, 8 Cd 3.05
4 W 0.5000 0.5000 0.0000  4 W 2.84, 8 Cd 3.03

=====

Below is Cd2AgW after structural relaxation, with properties calculated at the PBE level.

Output
Total moment   0.4 μB per cell
Energy relative to the lowest polymorph listed for this composition   255 meV/atom
DFT formation energy   596 meV/atom

Lattice parameters (Å, degrees): 5.2732 5.2732 5.3947 102.43 102.43 30.81
Closest atoms and distances in Å follow each position.
Element x y z (fractional)
1 Cd 0.2471 0.2471 0.2547  6 Cd 2.80-3.10, 2 Ag 2.94, 3 W 2.97-3.09
2 Cd 0.7529 0.7529 0.7453  6 Cd 2.80-3.10, 2 Ag 2.94, 3 W 2.97-3.09
3 Ag 0.5000 0.5000 0.0000  2 Ag 2.80, 4 Cd 2.94, 4 W 3.04
4 W 0.0000 0.0000 0.5000  2 W 2.80, 6 Cd 2.97-3.09, 4 Ag 3.04

=====

Below is CdAg2W after structural relaxation, with properties calculated at the PBE level.

Output
Total moment   0.6 μB per cell
DFT formation energy   597 meV/atom

Lattice parameters (Å, degrees): 5.0810 5.0810 5.3535 97.68 97.68 31.57
Closest atoms and distances in Å follow each position.
Element x y z (fractional)
1 Cd 0.0000 0.0000 0.0000  2 Cd 2.76, 7 Ag 2.94-3.05, 3 W 2.96-2.98
2 Ag 0.5030 0.5030 0.5089  5 Ag 2.76-2.99, 3 W 2.91-2.92, 4 Cd 2.97-3.05
3 Ag 0.7508 0.7508 0.2514  5 Ag 2.76-2.99, 3 Cd 2.94-2.97, 4 W 2.97-3.05
4 W 0.2516 0.2516 0.7436  2 W 2.76, 7 Ag 2.91-3.05, 3 Cd 2.96-2.98